# 1
Entry from Alexandria via LeMat-Bulk: KBa2Ir after structural relaxation (PBE).

Output
Relative energy among the computed polymorphs, eV/atom: 0.132
Formation enthalpy at 0 K, eV/atom: 0.0869
Space group: Imm2

abc: 4.084 4.343 22.724
angles: 90.00 90.00 90.00
Element x y z (fractional)
K1 0.000 0.000 0.000
K2 0.500 0.500 0.500
Ba1 0.000 0.000 0.670
Ba2 0.000 0.500 0.818
Ba3 0.500 0.000 0.318
Ba4 0.500 0.500 0.170
Ir1 0.000 0.500 0.265
Ir2 0.500 0.000 0.765

=====

# 2
Entry from Alexandria via LeMat-Bulk: MgAl2H4Pb2O4F6 after structural relaxation (PBE).

Output
Relative energy among the computed polymorphs, eV/atom: 0.100
Space group: P-1

abc: 4.794 7.682 7.770
angles: 113.72 97.35 97.15
Element x y z (fractional)
Mg1 0.000 0.000 0.000
Al1 0.351 0.324 0.342
Al2 0.649 0.676 0.658
H1 0.153 0.500 0.653
H2 0.268 0.838 0.609
H3 0.732 0.162 0.391
H4 0.847 0.500 0.347
Pb1 0.412 0.770 0.243
Pb2 0.588 0.230 0.757
O1 0.325 0.484 0.595
O2 0.461 0.845 0.578
O3 0.539 0.155 0.422
O4 0.675 0.516 0.405
F1 0.008 0.146 0.275
F2 0.133 0.457 0.242
F3 0.380 0.169 0.090
F4 0.620 0.831 0.910
F5 0.867 0.543 0.758
F6 0.992 0.854 0.725

=====

# 3
Entry from Alexandria via LeMat-Bulk: NbBiIO4 after structural relaxation (PBE).

Output
ΔE_f (raw), eV per atom: -1.62
Space group: C2/m

abc: 7.030 7.030 7.190
angles: 102.40 102.40 59.12
Element x y z (fractional)
Nb1 0.129 0.129 0.264
Nb2 0.871 0.871 0.736
Bi1 0.216 0.216 0.838
Bi2 0.784 0.784 0.162
I1 0.475 0.475 0.308
I2 0.525 0.525 0.692
O1 0.027 0.027 0.777
O2 0.031 0.611 0.862
O3 0.199 0.199 0.527
O4 0.389 0.969 0.138
O5 0.611 0.031 0.862
O6 0.801 0.801 0.473
O7 0.969 0.389 0.138
O8 0.973 0.973 0.223

=====

# 4
Entry from Alexandria via LeMat-Bulk: Al2BiAuN after structural relaxation (PBE).

Output
ΔE_f (raw), eV per atom: 0.23
Space group: P4/mmm

abc: 3.992 3.992 5.917
angles: 90.00 90.00 90.00
Element x y z (fractional)
Al1 0.000 0.500 0.000
Al2 0.500 0.000 0.000
Bi1 0.000 0.000 0.500
Au1 0.500 0.500 0.500
N1 0.500 0.500 0.000

=====

# 5
Entry from Alexandria via LeMat-Bulk: MgAgP after structural relaxation (PBE).

Output
Formation enthalpy at 0 K, eV/atom: -0.2515
Space group: Pnma

abc: 6.855 4.000 7.810
angles: 90.00 90.00 90.00
Element x y z (fractional)
Mg1 0.040 0.250 0.173
Mg2 0.460 0.750 0.673
Mg3 0.540 0.250 0.327
Mg4 0.960 0.750 0.827
Ag1 0.133 0.250 0.561
Ag2 0.367 0.750 0.061
Ag3 0.633 0.250 0.939
Ag4 0.867 0.750 0.439
P1 0.229 0.250 0.875
P2 0.271 0.750 0.375
P3 0.729 0.250 0.625
P4 0.771 0.750 0.125

=====

# 6
Entry from Alexandria via LeMat-Bulk: KEuBiPb after structural relaxation (PBE).

Output
Formation enthalpy at 0 K, eV/atom: -0.3403
Space group: F-43m

abc: 8.196 8.196 8.196
angles: 90.00 90.00 90.00
Element x y z (fractional)
K1 0.000 0.000 0.000
K2 0.000 0.500 0.500
K3 0.500 0.000 0.500
K4 0.500 0.500 0.000
Eu1 0.000 0.000 0.500
Eu2 0.000 0.500 0.000
Eu3 0.500 0.000 0.000
Eu4 0.500 0.500 0.500
Bi1 0.250 0.250 0.750
Bi2 0.250 0.750 0.250
Bi3 0.750 0.250 0.250
Bi4 0.750 0.750 0.750
Pb1 0.250 0.250 0.250
Pb2 0.250 0.750 0.750
Pb3 0.750 0.250 0.750
Pb4 0.750 0.750 0.250

=====

| no. | size of the total moment (μB per cell) |
| --- | --- |
| 1 | 0.00 |
| 2 | 0.00 |
| 3 | 0.00 |
| 4 | 0.00 |
| 5 | 0.00 |
| 6 | 28.22 |